# LiTc3Sb | the Alexandria database | PBE | relaxed
# * formation energy (no corrections): 1787 meV per atom
# * total magnetization: 4.78 μB per cell
# * density of states at the Fermi level: 8.58 states/eV per cell
data_LiTc3Sb
_cell_length_a 4.9377
_cell_length_b 4.9377
_cell_length_c 4.9377
_cell_angle_alpha 90.00
_cell_angle_beta 90.00
_cell_angle_gamma 90.00
_symmetry_space_group_name_H-M 'P m -3 m'
_symmetry_Int_Tables_number 221
_symmetry_space_group_name_Hall '-P 4 2 3'
loop_
_atom_site_label
_atom_site_type_symbol
_atom_site_fract_x
_atom_site_fract_y
_atom_site_fract_z
Li1 Li 0.0000 0.0000 0.0000
Tc1 Tc 0.0000 0.5000 0.5000
Sb1 Sb 0.5000 0.5000 0.5000